VASP calculation (PBE) on a relaxed structure of CsSi2PtCl.

Cell lengths 5.967, 5.967, 5.721 Å; angles 90.00, 90.00, 90.00 degrees
Element x y z (fractional)
Cs 0.000 0.000 0.000
Si 0.000 0.500 0.000
Si 0.500 0.000 0.000
Pt 0.500 0.500 0.500
Cl 0.000 0.000 0.500

Summary:
Calculated total energy ... -1.908 eV/atom
Space-group type ... P4/mmm (123)
Fermi-level density of states ... 9.2 states/eV per cell


VASP calculation (PBE) on a relaxed structure of BeZn2Pt.

Cell lengths 2.941, 2.941, 6.156 Å; angles 90.00, 90.00, 90.00 degrees
Element x y z (fractional)
Be 0.000 0.000 0.000
Zn 0.000 0.000 0.474
Zn 0.500 0.500 0.748
Pt 0.500 0.500 0.181

Summary:
Calculated total energy ... -3.394 eV/atom
Space-group type ... P4mm (99)
Fermi-level density of states ... 1.4 states/eV per cell


VASP calculation (PBE) on a relaxed structure of Al2TlOs.

Cell lengths 9.006, 9.006, 9.006 Å; angles 19.78, 19.78, 19.78 degrees
Element x y z (fractional)
Al 0.235 0.235 0.235
Al 0.765 0.765 0.765
Tl 0.000 0.000 0.000
Os 0.500 0.500 0.500

Summary:
Excess energy over the best structure of this formula in the dataset ... 0.184 eV per atom
Space-group type ... R-3m (166)
Fermi-level density of states ... 2.1 states/eV per cell


VASP calculation (PBE) on a relaxed structure of ThGa2Ag.

Cell lengths 4.502, 4.502, 4.382 Å; angles 90.00, 90.00, 90.00 degrees
Element x y z (fractional)
Th 0.000 0.000 0.000
Ga 0.000 0.500 0.500
Ga 0.500 0.000 0.500
Ag 0.500 0.500 0.000

Summary:
Excess energy over the best structure of this formula in the dataset ... 0.146 eV per atom
Space-group type ... P4/mmm (123)
Fermi-level density of states ... 3.1 states/eV per cell


VASP calculation (PBE) on a relaxed structure of LaIr2PdSe.

Cell lengths 4.890, 4.890, 4.820 Å; angles 90.00, 90.00, 90.00 degrees
Element x y z (fractional)
La 0.000 0.000 0.000
Ir 0.000 0.500 0.500
Ir 0.500 0.000 0.500
Pd 0.500 0.500 0.500
Se 0.500 0.500 0.000

Summary:
Calculated total energy ... -5.838 eV/atom
Space-group type ... P4/mmm (123)
Fermi-level density of states ... 5.5 states/eV per cell


VASP calculation (PBE) on a relaxed structure of ScZnGa2Ru.

Cell lengths 5.250, 5.250, 4.539 Å; angles 90.00, 90.00, 90.00 degrees
Element x y z (fractional)
Sc 0.000 0.000 0.000
Zn 0.500 0.500 0.500
Ga 0.000 0.500 0.000
Ga 0.500 0.000 0.000
Ru 0.000 0.000 0.500

Summary:
Calculated total energy ... -3.691 eV/atom
Space-group type ... P4/mmm (123)
Fermi-level density of states ... 4.0 states/eV per cell